# 1
A geometry-optimized Pu4Ga6Ru7 structure, computed with PBE.

Computed properties:
- energy relative to the elements (eV/atom) = -0.356
- V (Å³/f.u.) = 291.6
- total magnetic moment (μB per formula unit) = 15.92
- ρ (Mg/m³) = 11.97
- space group = Im-3m, No. 229

Cell lengths 7.2355, 7.2355, 7.2355 Å; angles 109.47, 109.47, 109.47 degrees
Fractional positions:
Ga  0.0000  0.3053  0.3053
Ga  0.6947  0.0000  0.6947
Ga  0.6947  0.6947  0.0000
Ga  0.0000  0.6947  0.6947
Ga  0.3053  0.0000  0.3053
Ga  0.3053  0.3053  0.0000
Ru  0.7500  0.5000  0.2500
Ru  0.2500  0.7500  0.5000
Ru  0.5000  0.2500  0.7500
Ru  0.5000  0.7500  0.2500
Ru  0.7500  0.2500  0.5000
Ru  0.2500  0.5000  0.7500
Ru  0.0000  0.0000  0.0000
Pu  0.0000  0.5000  0.0000
Pu  0.0000  0.0000  0.5000
Pu  0.5000  0.5000  0.5000
Pu  0.5000  0.0000  0.0000


# 2
A geometry-optimized Pu2Ga3Ru structure, computed with PBE.

Computed properties:
- energy relative to the elements (eV/atom) = 0.004
- V (Å³/f.u.) = 126.8
- total magnetic moment (μB per formula unit) = 12.12
- ρ (Mg/m³) = 10.45
- space group = Immm, No. 71

Cell lengths 3.1799, 5.3140, 8.1174 Å; angles 109.11, 101.30, 90.00 degrees
Fractional positions:
Ga  0.6267  0.6267  0.2533
Ga  0.0000  0.0000  0.0000
Ga  0.3733  0.3733  0.7467
Ru  0.0000  0.5000  0.0000
Pu  0.3035  0.8035  0.6071
Pu  0.6965  0.1965  0.3929


# 3
A geometry-optimized PuGa2Ru structure, computed with PBE.

Computed properties:
- energy relative to the elements (eV/atom) = -0.358
- V (Å³/f.u.) = 70.3
- total magnetic moment (μB per formula unit) = 5.67
- ρ (Mg/m³) = 11.45
- space group = P4/mmm, No. 123

Cell lengths 3.1149, 3.1149, 7.2434 Å; angles 90.00, 90.00, 90.00 degrees
Fractional positions:
Pu  0.5000  0.5000  0.5000
Ga  0.0000  0.0000  0.1941
Ga  0.0000  0.0000  0.8059
Ru  0.5000  0.5000  0.0000


# 4
A geometry-optimized Pu2Ga5Ru structure, computed with PBE.

Computed properties:
- energy relative to the elements (eV/atom) = -0.285
- V (Å³/f.u.) = 157.4
- total magnetic moment (μB per formula unit) = 10.01
- ρ (Mg/m³) = 9.89
- space group = Cmcm, No. 63
- relative energy among the computed polymorphs (meV per atom) = 0

Cell lengths 4.1295, 8.5971, 9.1336 Å; angles 90.00, 90.00, 103.90 degrees
Fractional positions:
Pu  0.0000  0.0000  0.5000
Pu  0.8146  0.6293  0.7500
Pu  0.0000  0.0000  0.0000
Pu  0.1854  0.3707  0.2500
Ru  0.4387  0.8773  0.7500
Ru  0.5613  0.1227  0.2500
Ga  0.6428  0.2855  0.0199
Ga  0.8043  0.6086  0.3902
Ga  0.1957  0.3914  0.8902
Ga  0.4119  0.8239  0.2500
Ga  0.8043  0.6086  0.1098
Ga  0.3572  0.7145  0.9801
Ga  0.1957  0.3914  0.6098
Ga  0.3572  0.7145  0.5199
Ga  0.6428  0.2855  0.4801
Ga  0.5881  0.1761  0.7500


Question: The highest total magnetic moment belongs to which entry?
Answer: Pu4Ga6Ru7


Question: The highest total magnetic moment belongs to which entry?
Answer: Pu4Ga6Ru7


Question: Which of these has the highest energy relative to the elements?
Answer: Pu2Ga3Ru


Question: total magnetic moment of number 4 (Pu2Ga5Ru)?
Answer: 10.01 μB per formula unit